[1]
# Cs3HgBr, optimized geometry, DFT GGA-PBE
# **Energy relative to the lowest polymorph listed for this composition**: 0.000 eV per atom
# **Volume**: 59.4 Å³/atom
# **DOS at the Fermi energy**: 5.72 states/eV/cell
# **Formation energy without anion corrections**: -750 meV per atom
# **Calculated total energy**: -1.657 eV/atom
data_Cs3HgBr
_chemical_formula_sum 'Cs6 Hg2 Br2'
_cell_length_a 4.9731
_cell_length_b 11.4003
_cell_length_c 11.3889
_cell_angle_alpha 113.19
_cell_angle_beta 90.00
_cell_angle_gamma 90.00
_space_group_name_H-M_alt 'P 1'
_space_group_IT_number 1
_space_group_name_Hall 'P 1'
loop_
_atom_site_label
_atom_site_fract_x
_atom_site_fract_y
_atom_site_fract_z
Cs1 0.2500 0.6170 0.3663
Cs2 0.7500 0.3830 0.6337
Cs3 0.2500 0.0066 0.7062
Cs4 0.7500 0.2641 0.1036
Cs5 0.7500 0.9934 0.2938
Cs6 0.2500 0.7359 0.8964
Hg1 0.7500 0.5855 0.0621
Hg2 0.2500 0.4145 0.9379
Br1 0.7500 0.7193 0.6370
Br2 0.2500 0.2807 0.3630

[2]
# CuSi2Pt, optimized geometry, DFT GGA-PBE
# **Energy relative to the lowest polymorph listed for this composition**: 0.325 eV per atom
# **Volume**: 14.2 Å³/atom
# **DOS at the Fermi energy**: 1.14 states/eV/cell
# **Formation energy without anion corrections**: 97 meV per atom
# **Calculated total energy**: -5.148 eV/atom
data_CuSi2Pt
_chemical_formula_sum 'Cu1 Si2 Pt1'
_cell_length_a 4.3167
_cell_length_b 4.3167
_cell_length_c 4.3167
_cell_angle_alpha 60.00
_cell_angle_beta 60.00
_cell_angle_gamma 60.00
_space_group_name_H-M_alt 'P 1'
_space_group_IT_number 1
_space_group_name_Hall 'P 1'
loop_
_atom_site_label
_atom_site_fract_x
_atom_site_fract_y
_atom_site_fract_z
Cu1 0.5000 0.5000 0.5000
Pt1 0.7500 0.7500 0.7500
Si1 0.0000 0.0000 0.0000
Si2 0.2500 0.2500 0.2500

[3]
# BaSrLi2Bi, optimized geometry, DFT GGA-PBE
# **E_form**: -0.155 eV/atom
# **Volume**: 42.8 Å³/atom
# **DOS at the Fermi energy**: 4.01 states/eV/cell
# **Calculated total energy**: -2.418 eV/atom
data_BaSrLi2Bi
_chemical_formula_sum 'Ba1 Sr1 Li2 Bi1'
_cell_length_a 5.6152
_cell_length_b 6.7896
_cell_length_c 5.6152
_cell_angle_alpha 90.00
_cell_angle_beta 90.00
_cell_angle_gamma 90.00
_space_group_name_H-M_alt 'P 1'
_space_group_IT_number 1
_space_group_name_Hall 'P 1'
loop_
_atom_site_label
_atom_site_fract_x
_atom_site_fract_y
_atom_site_fract_z
Sr1 0.5000 0.5000 0.5000
Li1 0.0000 0.0000 0.5000
Li2 0.5000 0.0000 0.0000
Bi1 0.0000 0.0000 0.0000
Ba1 0.0000 0.5000 0.0000

[4]
# Li2Pm3Zn7, optimized geometry, DFT GGA-PBE
# **E_form**: -0.184 eV/atom
# **Energy relative to the lowest polymorph listed for this composition**: 0.089 eV per atom
# **Volume**: 20.4 Å³/atom
# **DOS at the Fermi energy**: 7.75 states/eV/cell
# **Calculated total energy**: -2.433 eV/atom
data_Li2Pm3Zn7
_chemical_formula_sum 'Li2 Pm3 Zn7'
_cell_length_a 4.5484
_cell_length_b 4.6320
_cell_length_c 11.8705
_cell_angle_alpha 101.26
_cell_angle_beta 90.00
_cell_angle_gamma 90.00
_space_group_name_H-M_alt 'P 1'
_space_group_IT_number 1
_space_group_name_Hall 'P 1'
loop_
_atom_site_label
_atom_site_fract_x
_atom_site_fract_y
_atom_site_fract_z
Li1 0.5000 0.6351 0.2715
Li2 0.5000 0.3649 0.7285
Pm1 0.5000 0.5000 0.0000
Pm2 0.0000 0.1702 0.3389
Pm3 0.0000 0.8298 0.6611
Zn1 0.5000 0.7391 0.4784
Zn2 0.5000 0.2609 0.5216
Zn3 0.0000 0.5816 0.1597
Zn4 0.0000 0.0000 0.0000
Zn5 0.0000 0.4184 0.8403
Zn6 0.5000 0.9220 0.8428
Zn7 0.5000 0.0780 0.1572

[5]
# PrGdPt, optimized geometry, DFT GGA-PBE
# **E_form**: -0.700 eV/atom
# **Energy relative to the lowest polymorph listed for this composition**: 0.047 eV per atom
# **Volume**: 32.0 Å³/atom
# **DOS at the Fermi energy**: 3.57 states/eV/cell
# **Calculated total energy**: -9.000 eV/atom
data_PrGdPt
_chemical_formula_sum 'Pr1 Gd1 Pt1'
_cell_length_a 4.1623
_cell_length_b 4.1623
_cell_length_c 6.3940
_cell_angle_alpha 90.00
_cell_angle_beta 90.00
_cell_angle_gamma 120.00
_space_group_name_H-M_alt 'P 1'
_space_group_IT_number 1
_space_group_name_Hall 'P 1'
loop_
_atom_site_label
_atom_site_fract_x
_atom_site_fract_y
_atom_site_fract_z
Pr1 0.0000 0.0000 0.0824
Gd1 0.3333 0.6667 0.5759
Pt1 0.6667 0.3333 0.3418

[6]
# Sm8Ga2Fe, optimized geometry, DFT GGA-PBE
# **E_form**: -0.155 eV/atom
# **Volume**: 27.7 Å³/atom
# **DOS at the Fermi energy**: 11.02 states/eV/cell
# **Calculated total energy**: -4.907 eV/atom
data_Sm8Ga2Fe
_chemical_formula_sum 'Sm8 Ga2 Fe1'
_cell_length_a 5.0827
_cell_length_b 6.8204
_cell_length_c 9.2831
_cell_angle_alpha 100.24
_cell_angle_beta 105.89
_cell_angle_gamma 90.00
_space_group_name_H-M_alt 'P 1'
_space_group_IT_number 1
_space_group_name_Hall 'P 1'
loop_
_atom_site_label
_atom_site_fract_x
_atom_site_fract_y
_atom_site_fract_z
Sm1 0.4087 0.5499 0.8174
Sm2 0.6497 0.9652 0.2994
Sm3 0.7946 0.6978 0.5891
Sm4 0.9797 0.2219 0.9595
Sm5 0.2054 0.3022 0.4109
Sm6 0.3503 0.0348 0.7006
Sm7 0.5913 0.4501 0.1826
Sm8 0.0203 0.7781 0.0405
Ga1 0.8083 0.2578 0.6166
Ga2 0.1917 0.7422 0.3834
Fe1 0.5000 0.0000 0.0000

[7]
# Dy6Ni2Os, optimized geometry, DFT GGA-PBE
# **E_form**: -0.272 eV/atom
# **Volume**: 23.4 Å³/atom
# **DOS at the Fermi energy**: 17.78 states/eV/cell
# **Calculated total energy**: -5.872 eV/atom
data_Dy6Ni2Os
_chemical_formula_sum 'Dy12 Ni4 Os2'
_cell_length_a 8.1804
_cell_length_b 8.1804
_cell_length_c 8.1804
_cell_angle_alpha 108.57
_cell_angle_beta 109.73
_cell_angle_gamma 110.11
_space_group_name_H-M_alt 'P 1'
_space_group_IT_number 1
_space_group_name_Hall 'P 1'
loop_
_atom_site_label
_atom_site_fract_x
_atom_site_fract_y
_atom_site_fract_z
Dy1 0.5654 0.7400 0.8254
Dy2 0.4346 0.2600 0.1746
Dy3 0.0855 0.2600 0.8254
Dy4 0.9145 0.7400 0.1746
Dy5 0.8164 0.7411 0.5574
Dy6 0.1836 0.2589 0.4426
Dy7 0.1836 0.7411 0.9247
Dy8 0.8164 0.2589 0.0753
Dy9 0.6949 0.3655 0.6706
Dy10 0.3051 0.6345 0.3294
Dy11 0.3051 0.9757 0.6706
Dy12 0.6949 0.0243 0.3294
Ni1 0.5000 0.3806 0.8806
Ni2 0.5000 0.6194 0.1194
Ni3 0.6588 0.0000 0.6588
Ni4 0.3412 0.0000 0.3412
Os1 0.0000 0.5000 0.5000
Os2 0.0000 0.0000 0.0000

[8]
# TbCl6F2, optimized geometry, DFT GGA-PBE
# **Volume**: 29.9 Å³/atom
# **DOS at the Fermi energy**: 3.18 states/eV/cell
# **Formation energy without anion corrections**: -1434 meV per atom
# **Calculated total energy**: -3.596 eV/atom
data_TbCl6F2
_chemical_formula_sum 'Tb1 Cl6 F2'
_cell_length_a 3.5207
_cell_length_b 7.9987
_cell_length_c 10.5174
_cell_angle_alpha 106.32
_cell_angle_beta 99.68
_cell_angle_gamma 102.75
_space_group_name_H-M_alt 'P 1'
_space_group_IT_number 1
_space_group_name_Hall 'P 1'
loop_
_atom_site_label
_atom_site_fract_x
_atom_site_fract_y
_atom_site_fract_z
Tb1 0.0000 0.0000 0.0000
Cl1 0.9487 0.5627 0.3356
Cl2 0.0513 0.4373 0.6644
Cl3 0.8005 0.8789 0.7238
Cl4 0.9390 0.1869 0.6913
Cl5 0.0610 0.8131 0.3087
Cl6 0.1995 0.1211 0.2762
F1 0.4136 0.8285 0.9992
F2 0.5864 0.1715 0.0008

[9]
# TbCu4Ni2, optimized geometry, DFT GGA-PBE
# **E_form**: 0.406 eV/atom
# **Energy relative to the lowest polymorph listed for this composition**: 0.580 eV per atom
# **Volume**: 17.9 Å³/atom
# **DOS at the Fermi energy**: 5.39 states/eV/cell
# **Calculated total energy**: -4.248 eV/atom
data_TbCu4Ni2
_chemical_formula_sum 'Tb1 Cu4 Ni2'
_cell_length_a 5.6011
_cell_length_b 5.6011
_cell_length_c 5.6011
_cell_angle_alpha 101.49
_cell_angle_beta 101.49
_cell_angle_gamma 126.98
_space_group_name_H-M_alt 'P 1'
_space_group_IT_number 1
_space_group_name_Hall 'P 1'
loop_
_atom_site_label
_atom_site_fract_x
_atom_site_fract_y
_atom_site_fract_z
Tb1 0.0000 0.0000 0.0000
Cu1 0.7289 0.5000 0.2289
Cu2 0.5000 0.7289 0.2289
Cu3 0.5000 0.2711 0.7711
Cu4 0.2711 0.5000 0.7711
Ni1 0.2500 0.7500 0.5000
Ni2 0.7500 0.2500 0.5000

[10]
# CsUSe2, optimized geometry, DFT GGA-PBE
# **Volume**: 33.4 Å³/atom
# **DOS at the Fermi energy**: 4.89 states/eV/cell
# **Formation energy without anion corrections**: -1186 meV per atom
# **Calculated total energy**: -5.963 eV/atom
data_CsUSe2
_chemical_formula_sum 'Cs1 U1 Se2'
_cell_length_a 4.2411
_cell_length_b 4.2411
_cell_length_c 8.9110
_cell_angle_alpha 76.23
_cell_angle_beta 76.23
_cell_angle_gamma 60.00
_space_group_name_H-M_alt 'P 1'
_space_group_IT_number 1
_space_group_name_Hall 'P 1'
loop_
_atom_site_label
_atom_site_fract_x
_atom_site_fract_y
_atom_site_fract_z
Cs1 0.4978 0.4978 0.5067
U1 0.6675 0.6675 0.9974
Se1 0.0635 0.0635 0.8096
Se2 0.2712 0.2712 0.1863

[11]
# Cs2PH, optimized geometry, DFT GGA-PBE
# **Energy relative to the lowest polymorph listed for this composition**: 0.520 eV per atom
# **Volume**: 37.1 Å³/atom
# **DOS at the Fermi energy**: 4.87 states/eV/cell
# **Calculated total energy**: -2.320 eV/atom
data_Cs2PH
_chemical_formula_sum 'Cs2 P1 H1'
_cell_length_a 5.9415
_cell_length_b 5.9415
_cell_length_c 5.9415
_cell_angle_alpha 60.00
_cell_angle_beta 60.00
_cell_angle_gamma 60.00
_space_group_name_H-M_alt 'P 1'
_space_group_IT_number 1
_space_group_name_Hall 'P 1'
loop_
_atom_site_label
_atom_site_fract_x
_atom_site_fract_y
_atom_site_fract_z
Cs1 0.2500 0.2500 0.2500
Cs2 0.7500 0.7500 0.7500
P1 0.5000 0.5000 0.5000
H1 0.0000 0.0000 0.0000

[12]
# Li4Eu2N, optimized geometry, DFT GGA-PBE
# **Volume**: 24.9 Å³/atom
# **DOS at the Fermi energy**: 12.55 states/eV/cell
# **Formation energy without anion corrections**: -139 meV per atom
# **Calculated total energy**: -5.358 eV/atom
data_Li4Eu2N
_chemical_formula_sum 'Li4 Eu2 N1'
_cell_length_a 3.9148
_cell_length_b 3.9148
_cell_length_c 11.6907
_cell_angle_alpha 80.36
_cell_angle_beta 80.36
_cell_angle_gamma 90.00
_space_group_name_H-M_alt 'P 1'
_space_group_IT_number 1
_space_group_name_Hall 'P 1'
loop_
_atom_site_label
_atom_site_fract_x
_atom_site_fract_y
_atom_site_fract_z
Eu1 0.6901 0.6901 0.6197
Eu2 0.3099 0.3099 0.3803
Li1 0.9155 0.9155 0.1690
Li2 0.0845 0.0845 0.8310
Li3 0.0000 0.5000 0.0000
Li4 0.5000 0.0000 0.0000
N1 0.0000 0.0000 0.0000